No. 1
DFT (PBE) results for crystalline Dy4ZnSb at its relaxed geometry.

Output
Offset from the most stable computed form (meV/atom): 0
Crystal system: cubic
DOS(E_F) (states/eV/f.u.): 4.90
Magnetic moment (μB per cell): 0.00

a b c (Å): 9.7884 9.7884 9.7884
angles (deg): 60.00 60.00 60.00
Last column: nearest neighbours and their distance in Å.
Fractional positions:
Dy 0.3714 0.3714 0.3714  3 Zn 3.02, 3 Sb 3.18
Dy 0.8859 0.3714 0.3714  3 Zn 3.02, 3 Sb 3.18
Dy 0.3714 0.8859 0.3714  3 Zn 3.02, 3 Sb 3.18
Dy 0.3714 0.3714 0.8859  3 Zn 3.02, 3 Sb 3.18
Dy 0.5601 0.5601 0.9399  2 Sb 3.04
Dy 0.9399 0.9399 0.5601  2 Sb 3.04
Dy 0.5601 0.9399 0.5601  2 Sb 3.04
Dy 0.9399 0.5601 0.9399  2 Sb 3.04
Dy 0.9399 0.5601 0.5601  2 Sb 3.04
Dy 0.5601 0.9399 0.9399  2 Sb 3.04
Dy 0.1860 0.1860 0.8140  2 Zn 3.10
Dy 0.8140 0.8140 0.1860  2 Zn 3.10
Dy 0.1860 0.8140 0.1860  2 Zn 3.10
Dy 0.8140 0.1860 0.8140  2 Zn 3.10
Dy 0.8140 0.1860 0.1860  2 Zn 3.10
Dy 0.1860 0.8140 0.8140  2 Zn 3.10
Zn 0.1570 0.1570 0.1570  6 Dy 3.02-3.10
Zn 0.5290 0.1570 0.1570  6 Dy 3.02-3.10
Zn 0.1570 0.5290 0.1570  6 Dy 3.02-3.10
Zn 0.1570 0.1570 0.5290  6 Dy 3.02-3.10
Sb 0.5971 0.5971 0.5971  6 Dy 3.04-3.18
Sb 0.2088 0.5971 0.5971  6 Dy 3.04-3.18
Sb 0.5971 0.2088 0.5971  6 Dy 3.04-3.18
Sb 0.5971 0.5971 0.2088  6 Dy 3.04-3.18

=====

No. 2
DFT (PBE) results for crystalline TeSeF2 at its relaxed geometry.

Output
Offset from the most stable computed form (meV/atom): 676
Crystal system: cubic
DOS(E_F) (states/eV/f.u.): 0.29
Magnetic moment (μB per cell): 0.00

a b c (Å): 4.4337 4.4337 4.4337
angles (deg): 60.00 60.00 60.00
Last column: nearest neighbours and their distance in Å.
Fractional positions:
Te 0.5000 0.5000 0.5000  8 F 2.72
Se 0.0000 0.0000 0.0000  8 F 2.72
F 0.2500 0.2500 0.2500  4 Se 2.72, 4 Te 2.72
F 0.7500 0.7500 0.7500  4 Se 2.72, 4 Te 2.72

=====

No. 3
DFT (PBE) results for crystalline CrNiIr2 at its relaxed geometry.

Output
Crystal system: cubic
Formation energy from the elements (meV per atom): 261
DOS(E_F) (states/eV/f.u.): 8.48
Magnetic moment (μB per cell): 2.42

a b c (Å): 4.2536 4.2536 4.2536
angles (deg): 60.00 60.00 60.00
Last column: nearest neighbours and their distance in Å.
Fractional positions:
Cr 0.5000 0.5000 0.5000  4 Ir 2.60, 4 Ni 2.60
Ir 0.0000 0.0000 0.0000  4 Ni 2.60, 4 Ir 2.60
Ir 0.7500 0.7500 0.7500  4 Ir 2.60, 4 Cr 2.60
Ni 0.2500 0.2500 0.2500  4 Cr 2.60, 4 Ir 2.60

=====

No. 4
DFT (PBE) results for crystalline Ta3TcIr at its relaxed geometry.

Output
Offset from the most stable computed form (meV/atom): 0
Crystal system: cubic
Formation energy from the elements (meV per atom): 1329
DOS(E_F) (states/eV/f.u.): 7.10
Magnetic moment (μB per cell): 0.00

a b c (Å): 4.7057 4.7057 4.7057
angles (deg): 90.00 90.00 90.00
Last column: nearest neighbours and their distance in Å.
Fractional positions:
Ir 0.5000 0.5000 0.5000  12 Ta 3.33
Tc 0.0000 0.0000 0.0000  6 Ta 2.35
Ta 0.0000 0.5000 0.0000  2 Tc 2.35
Ta 0.0000 0.0000 0.5000  2 Tc 2.35
Ta 0.5000 0.0000 0.0000  2 Tc 2.35

=====

- The highest DOS(E_F) belongs to which entry?
  CrNiIr2